# LiFeRu2 SCAN PBEsol geometry
# - Energy relative to the lowest polymorph listed for this composition: 139 meV/atom
data_LiFeRu2
_cell_length_a 2.7156
_cell_length_b 4.3742
_cell_length_c 8.8568
_cell_angle_alpha 90.00
_cell_angle_beta 90.00
_cell_angle_gamma 90.00
_space_group_name_H-M_alt 'C m m 2'
_space_group_IT_number 35
loop_
_space_group_symop_operation_xyz
'x,y,z'
'-x,-y,z'
'-x,y,z'
'x,-y,z'
'x+1/2,y+1/2,z'
'-x+1/2,-y+1/2,z'
'-x+1/2,y+1/2,z'
'x+1/2,-y+1/2,z'
loop_
_atom_site_label
_atom_site_fract_x
_atom_site_fract_y
_atom_site_fract_z
Li1 0.0000 0.0000 0.0000
Fe1 0.0000 0.5000 0.2532
Ru1 0.0000 0.0000 0.4894
Ru2 0.0000 0.5000 0.7428

---

# LiFeRu2 SCAN PBEsol geometry
# - Energy relative to the lowest polymorph listed for this composition: 0 meV/atom
data_LiFeRu2
_cell_length_a 2.7529
_cell_length_b 4.3308
_cell_length_c 8.6866
_cell_angle_alpha 90.00
_cell_angle_beta 90.00
_cell_angle_gamma 90.00
_space_group_name_H-M_alt 'C m m m'
_space_group_IT_number 65
_space_group_name_Hall '-C 2 2'
loop_
_atom_site_label
_atom_site_fract_x
_atom_site_fract_y
_atom_site_fract_z
Li1 0.0000 0.0000 0.0000
Fe1 0.0000 0.0000 0.5000
Ru1 0.0000 0.5000 0.2617

---

Material: LiZr2FeRu
Method: DFT, SCAN
State: PBEsol geometry

```
data_LiZr2FeRu
_cell_length_a 4.6413
_cell_length_b 4.6413
_cell_length_c 3.5900
_cell_angle_alpha 90.00
_cell_angle_beta 90.00
_cell_angle_gamma 90.00
_space_group_name_H-M_alt 'P 4/m m m'
_space_group_IT_number 123
_space_group_name_Hall '-P 4 2'
loop_
_atom_site_label
_atom_site_fract_x
_atom_site_fract_y
_atom_site_fract_z
Li1 0.0000 0.0000 0.0000
Zr1 0.0000 0.5000 0.0000
Fe1 0.0000 0.0000 0.5000
Ru1 0.5000 0.5000 0.5000
```

---

# Li3FeS SCAN PBEsol geometry
# - Uncorrected formation energy: 0.364 eV/atom
data_Li3FeS
_cell_length_a 4.6073
_cell_length_b 4.6073
_cell_length_c 4.6073
_cell_angle_alpha 90.00
_cell_angle_beta 90.00
_cell_angle_gamma 90.00
_space_group_name_H-M_alt 'P m -3 m'
_space_group_IT_number 221
_space_group_name_Hall '-P 4 2 3'
loop_
_atom_site_label
_atom_site_fract_x
_atom_site_fract_y
_atom_site_fract_z
Li1 0.0000 0.0000 0.5000
Fe1 0.0000 0.0000 0.0000
S1 0.5000 0.5000 0.5000

---

# LiScFe SCAN PBEsol geometry
# - Energy relative to the lowest polymorph listed for this composition: 388 meV/atom
data_LiScFe
_cell_length_a 5.8224
_cell_length_b 5.8224
_cell_length_c 5.8224
_cell_angle_alpha 90.00
_cell_angle_beta 90.00
_cell_angle_gamma 90.00
_space_group_name_H-M_alt 'F -4 3 m'
_space_group_IT_number 216
_space_group_name_Hall 'F -4 2 3'
loop_
_atom_site_label
_atom_site_fract_x
_atom_site_fract_y
_atom_site_fract_z
Li1 0.0000 0.0000 0.0000
Sc1 0.2500 0.2500 0.7500
Fe1 0.2500 0.2500 0.2500

---

# LiScFe SCAN PBEsol geometry
# - Energy relative to the lowest polymorph listed for this composition: 0 meV/atom
data_LiScFe
_cell_length_a 3.1578
_cell_length_b 3.1578
_cell_length_c 9.4153
_cell_angle_alpha 90.00
_cell_angle_beta 90.00
_cell_angle_gamma 90.00
_space_group_name_H-M_alt 'I 4 m m'
_space_group_IT_number 107
_space_group_name_Hall 'I 4 -2'
loop_
_atom_site_label
_atom_site_fract_x
_atom_site_fract_y
_atom_site_fract_z
Li1 0.0000 0.0000 0.0000
Sc1 0.0000 0.0000 0.7062
Fe1 0.0000 0.0000 0.3601

---

# Li2FeSi2 SCAN PBEsol geometry
# - Uncorrected formation energy: -0.008 eV/atom
data_Li2FeSi2
_cell_length_a 5.9423
_cell_length_b 5.9423
_cell_length_c 3.9524
_cell_angle_alpha 90.00
_cell_angle_beta 90.00
_cell_angle_gamma 90.00
_space_group_name_H-M_alt 'P 4/m b m'
_space_group_IT_number 127
_space_group_name_Hall '-P 4 2ab'
loop_
_atom_site_label
_atom_site_fract_x
_atom_site_fract_y
_atom_site_fract_z
Li1 0.1681 0.3319 0.0000
Fe1 0.0000 0.0000 0.5000
Si1 0.1453 0.6453 0.5000

---

# LiFeSi SCAN PBEsol geometry
# - Uncorrected formation energy: -0.048 eV/atom
data_LiFeSi
_cell_length_a 3.8730
_cell_length_b 3.8730
_cell_length_c 2.4684
_cell_angle_alpha 90.00
_cell_angle_beta 90.00
_cell_angle_gamma 120.00
_space_group_name_H-M_alt 'P 3 m 1'
_space_group_IT_number 156
loop_
_space_group_symop_operation_xyz
'x,y,z'
'-y,x-y,z'
'-x+y,-x,z'
'-y,-x,z'
'-x+y,y,z'
'x,x-y,z'
loop_
_atom_site_label
_atom_site_fract_x
_atom_site_fract_y
_atom_site_fract_z
Li1 0.0000 0.0000 0.0000
Fe1 0.6667 0.3333 0.6376
Si1 0.3333 0.6667 0.2963

---

# LiFe2Si2 SCAN PBEsol geometry
# - Uncorrected formation energy: 0.120 eV/atom
data_LiFe2Si2
_cell_length_a 3.5211
_cell_length_b 3.5211
_cell_length_c 10.3029
_cell_angle_alpha 90.00
_cell_angle_beta 90.00
_cell_angle_gamma 90.00
_space_group_name_H-M_alt 'I 4/m m m'
_space_group_IT_number 139
_space_group_name_Hall '-I 4 2'
loop_
_atom_site_label
_atom_site_fract_x
_atom_site_fract_y
_atom_site_fract_z
Li1 0.0000 0.0000 0.0000
Fe1 0.0000 0.0000 0.3924
Si1 0.0000 0.5000 0.2500

---

# LiFeSi3 SCAN PBEsol geometry
# - Uncorrected formation energy: 0.322 eV/atom
data_LiFeSi3
_cell_length_a 4.3285
_cell_length_b 4.3285
_cell_length_c 4.3285
_cell_angle_alpha 90.00
_cell_angle_beta 90.00
_cell_angle_gamma 90.00
_space_group_name_H-M_alt 'P m -3 m'
_space_group_IT_number 221
_space_group_name_Hall '-P 4 2 3'
loop_
_atom_site_label
_atom_site_fract_x
_atom_site_fract_y
_atom_site_fract_z
Li1 0.0000 0.0000 0.0000
Fe1 0.5000 0.5000 0.5000
Si1 0.0000 0.5000 0.5000

---

# Sr2LiFe SCAN PBEsol geometry
# - Energy relative to the lowest polymorph listed for this composition: 8 meV/atom
data_Sr2LiFe
_cell_length_a 4.6173
_cell_length_b 4.3990
_cell_length_c 11.8897
_cell_angle_alpha 90.00
_cell_angle_beta 90.00
_cell_angle_gamma 90.00
_space_group_name_H-M_alt 'A m m 2'
_space_group_IT_number 38
loop_
_space_group_symop_operation_xyz
'x,y,z'
'-x,-y,z'
'-x,y,z'
'x,-y,z'
'x,y+1/2,z+1/2'
'-x,-y+1/2,z+1/2'
'-x,y+1/2,z+1/2'
'x,-y+1/2,z+1/2'
loop_
_atom_site_label
_atom_site_fract_x
_atom_site_fract_y
_atom_site_fract_z
Sr1 0.0000 0.0000 0.0000
Sr2 0.5000 0.0000 0.2850
Li1 0.0000 0.0000 0.6970
Fe1 0.5000 0.0000 0.5839

---

# Sr2LiFe SCAN PBEsol geometry
# - Energy relative to the lowest polymorph listed for this composition: 47 meV/atom
data_Sr2LiFe
_cell_length_a 3.6556
_cell_length_b 3.6556
_cell_length_c 8.6950
_cell_angle_alpha 90.00
_cell_angle_beta 90.00
_cell_angle_gamma 90.00
_space_group_name_H-M_alt 'P 4 m m'
_space_group_IT_number 99
loop_
_space_group_symop_operation_xyz
'x,y,z'
'-y,x,z'
'-x,-y,z'
'y,-x,z'
'-x,y,z'
'y,x,z'
'x,-y,z'
'-y,-x,z'
loop_
_atom_site_label
_atom_site_fract_x
_atom_site_fract_y
_atom_site_fract_z
Sr1 0.0000 0.0000 0.0000
Sr2 0.5000 0.5000 0.3913
Li1 0.0000 0.0000 0.6521
Fe1 0.5000 0.5000 0.7638

---

These records have uncorrected energy values of -0.8166 -0.8217 -0.8314 -0.2433 -0.4023 -0.4165 -0.3159 -0.3758 -0.4269 -0.3598 -0.5834 -0.5820 Ha/atom, in the order they appear.
These records have total moment values of 2.751 3.273 0.000 3.001 1.543 1.996 2.363 1.463 2.017 2.774 2.434 3.047 μB/f.u., in the order they appear.